Here is K2BaTl at its PBEsol-relaxed geometry from Alexandria via LeMat-Bulk. Energies are from meta-GGA SCAN.

**Fermi-level density of states**: 3.12 states/eV/f.u.
**Total energy**: -129.3 eV/cell

```
data_K2BaTl
_space_group_name_H-M_alt 'P 4 m m'
_space_group_IT_number 99
_cell_length_a 4.2928
_cell_length_b 4.2928
_cell_length_c 11.0363
_cell_angle_alpha 90.00
_cell_angle_beta 90.00
_cell_angle_gamma 90.00
loop_
_space_group_symop_operation_xyz
'x,y,z'
'-y,x,z'
'-x,-y,z'
'y,-x,z'
'-x,y,z'
'y,x,z'
'x,-y,z'
'-y,-x,z'
loop_
_atom_site_label
_atom_site_fract_x
_atom_site_fract_y
_atom_site_fract_z
K1 0.0000 0.0000 0.0000
K2 0.5000 0.5000 0.3256
Ba1 0.5000 0.5000 0.6864
Tl1 0.0000 0.0000 0.5281
```

=====

Here is KBaW at its PBEsol-relaxed geometry from Alexandria via LeMat-Bulk. Energies are from meta-GGA SCAN.

**Distance to the lowest polymorph of the same formula**: 0.000 eV per atom
**Fermi-level density of states**: 3.91 states/eV/f.u.
**Total energy**: -112.4 eV/cell

```
data_KBaW
_space_group_name_H-M_alt 'P 3 m 1'
_space_group_IT_number 156
_cell_length_a 3.1913
_cell_length_b 3.1913
_cell_length_c 9.6876
_cell_angle_alpha 90.00
_cell_angle_beta 90.00
_cell_angle_gamma 120.00
loop_
_space_group_symop_operation_xyz
'x,y,z'
'-y,x-y,z'
'-x+y,-x,z'
'-y,-x,z'
'-x+y,y,z'
'x,x-y,z'
loop_
_atom_site_label
_atom_site_fract_x
_atom_site_fract_y
_atom_site_fract_z
K1 0.0000 0.0000 0.0000
Ba1 0.6667 0.3333 0.4198
W1 0.3333 0.6667 0.7012
```

=====

Here is KBaW at its PBEsol-relaxed geometry from Alexandria via LeMat-Bulk. Energies are from meta-GGA SCAN.

**Distance to the lowest polymorph of the same formula**: 0.202 eV per atom
**Fermi-level density of states**: 2.14 states/eV/f.u.
**Total energy**: -447.3 eV/cell

```
data_KBaW
_space_group_name_H-M_alt 'F -4 3 m'
_space_group_IT_number 216
_space_group_name_Hall 'F -4 2 3'
_cell_length_a 8.0927
_cell_length_b 8.0927
_cell_length_c 8.0927
_cell_angle_alpha 90.00
_cell_angle_beta 90.00
_cell_angle_gamma 90.00
loop_
_atom_site_label
_atom_site_fract_x
_atom_site_fract_y
_atom_site_fract_z
K1 0.0000 0.0000 0.0000
Ba1 0.0000 0.0000 0.5000
W1 0.2500 0.2500 0.7500
```

=====

Here is KBaY2 at its PBEsol-relaxed geometry from Alexandria via LeMat-Bulk. Energies are from meta-GGA SCAN.

**Fermi-level density of states**: 4.39 states/eV/f.u.
**Total energy**: -102.6 eV/cell

```
data_KBaY2
_space_group_name_H-M_alt 'P 4 m m'
_space_group_IT_number 99
_cell_length_a 3.7900
_cell_length_b 3.7900
_cell_length_c 11.8819
_cell_angle_alpha 90.00
_cell_angle_beta 90.00
_cell_angle_gamma 90.00
loop_
_space_group_symop_operation_xyz
'x,y,z'
'-y,x,z'
'-x,-y,z'
'y,-x,z'
'-x,y,z'
'y,x,z'
'x,-y,z'
'-y,-x,z'
loop_
_atom_site_label
_atom_site_fract_x
_atom_site_fract_y
_atom_site_fract_z
K1 0.0000 0.0000 0.0000
Ba1 0.5000 0.5000 0.6866
Y1 0.0000 0.0000 0.4481
Y2 0.5000 0.5000 0.2678
```

=====

Calculated volume readings, ordered: 50.8; 28.5; 44.2; 42.7 A^3/atom
M_tot readings, ordered: 0.006; 0.001; 1.643; 0.103 μB per atom